PmDyHg6 | PBE-GGA | relaxed

Geometry as extended XYZ:
```
8
Lattice="5.034 0.000 0.000 0.000 6.694 -0.188 0.000 -3.132 5.919" Properties=species:S:1:pos:R:3 pbc="T T T"
Pm 2.517 0.922 3.400
Dy 0.000 -2.272 5.385
Hg 0.000 -0.784 2.404
Hg 0.000 1.060 5.370
Hg 0.000 2.609 2.351
Hg 2.517 2.525 0.443
Hg 2.517 4.283 3.272
Hg 2.517 5.903 0.304
```

Summary:
Energy of formation in kJ/mol of atoms: -35.0
Density in g/cm³: 12.77
Distance to the lowest polymorph of the same formula in kJ/mol of formula units: 0

---

Pm2DyHg4 | PBE-GGA | relaxed

Geometry as extended XYZ:
```
7
Lattice="0.323 2.595 4.438 1.780 -2.342 4.229 8.979 2.615 0.807" Properties=species:S:1:pos:R:3 pbc="T T T"
Pm 8.164 2.106 7.143
Pm 2.918 0.762 2.331
Dy 0.000 0.000 0.000
Hg 5.242 1.213 7.878
Hg 5.841 1.656 1.596
Hg 2.348 0.458 5.540
Hg 8.734 2.410 3.934
```

Summary:
Energy of formation in kJ/mol of atoms: -33.5
Density in g/cm³: 10.18
Distance to the lowest polymorph of the same formula in kJ/mol of formula units: 0

---

PmDyHg | PBE-GGA | relaxed

Geometry as extended XYZ:
```
9
Lattice="3.779 0.000 0.000 0.000 7.718 -4.456 0.000 0.000 8.911" Properties=species:S:1:pos:R:3 pbc="T T T"
Pm 1.889 0.000 5.415
Pm 1.889 3.028 1.748
Pm 1.889 4.690 -2.708
Dy 0.000 0.000 2.444
Dy 0.000 5.601 3.234
Dy 0.000 2.116 -1.222
Hg 1.889 0.000 0.000
Hg 0.000 5.145 0.000
Hg 0.000 2.573 4.456
```

Summary:
Energy of formation in kJ/mol of atoms: -27.4
Density in g/cm³: 9.74
Distance to the lowest polymorph of the same formula in kJ/mol of formula units: 6

---

PmPrDy2Hg4 | PBE-GGA | relaxed

Geometry as extended XYZ:
```
8
Lattice="-0.936 0.273 5.263 -1.143 -4.448 2.749 7.814 -2.603 4.246" Properties=species:S:1:pos:R:3 pbc="T T T"
Pm 2.868 -3.390 6.129
Pr 0.000 0.000 0.000
Dy 4.296 -5.084 9.193
Dy 1.439 -1.696 3.066
Hg 6.029 -3.840 6.715
Hg 1.138 -4.634 8.608
Hg 4.597 -2.145 3.650
Hg -0.294 -2.939 5.544
```

Summary:
Energy of formation in kJ/mol of atoms: -45.1
Density in g/cm³: 10.83

---

PmDyHgRu | PBE-GGA | relaxed

Geometry as extended XYZ:
```
4
Lattice="5.094 0.000 0.000 2.547 4.411 0.000 2.547 1.470 4.159" Properties=species:S:1:pos:R:3 pbc="T T T"
Ru 7.640 4.411 3.119
Pm 0.000 0.000 0.000
Hg 2.547 1.470 1.040
Dy 5.094 2.941 2.079
```

Summary:
Energy of formation in kJ/mol of atoms: -29.7
Density in g/cm³: 10.83
Distance to the lowest polymorph of the same formula in kJ/mol of formula units: 42

---

PmDyHgRu | PBE-GGA | relaxed

Geometry as extended XYZ:
```
4
Lattice="-2.680 -0.599 2.197 -1.097 -2.634 -2.056 4.336 -4.892 3.955" Properties=species:S:1:pos:R:3 pbc="T T T"
Pm 1.539 -5.484 3.197
Dy -0.370 -3.330 1.456
Hg 0.356 -0.402 0.325
Ru 2.436 -2.748 2.222
```

Summary:
Energy of formation in kJ/mol of atoms: -40.2
Density in g/cm³: 10.70
Distance to the lowest polymorph of the same formula in kJ/mol of formula units: 0